The following is a DFT calculation (PBE) of crystalline RbMgIr at its relaxed geometry.

Computed properties:
Calculated total energy ... -2.99 eV/atom
Symmetry ... F-43m, No. 216

a = 4.865 Å, b = 4.865 Å, c = 4.865 Å
α = 60.00°, β = 60.00°, γ = 60.00°
Positions (direct):
Mg1 0.250 0.250 0.250
Rb1 0.750 0.750 0.750
Ir1 0.000 0.000 0.000

---

The following is a DFT calculation (PBE) of crystalline RbMgIr at its relaxed geometry.

Computed properties:
Calculated total energy ... -2.14 eV/atom
Symmetry ... F-43m, No. 216

a = 4.978 Å, b = 4.978 Å, c = 4.978 Å
α = 60.00°, β = 60.00°, γ = 60.00°
Positions (direct):
Rb1 0.000 0.000 0.000
Mg1 0.750 0.750 0.750
Ir1 0.250 0.250 0.250

---

The following is a DFT calculation (PBE) of crystalline RbMg2Ir at its relaxed geometry.

Computed properties:
Calculated total energy ... -2.47 eV/atom
Symmetry ... P-6m2, No. 187

a = 10.960 Å, b = 3.025 Å, c = 3.025 Å
α = 60.00°, β = 90.00°, γ = 90.00°
Positions (direct):
Rb1 0.500 0.667 0.667
Ir1 0.000 0.000 0.000
Mg1 0.776 0.000 0.000
Mg2 0.224 0.000 0.000

---

The following is a DFT calculation (PBE) of crystalline RbMgTeIr at its relaxed geometry.

Computed properties:
Calculated total energy ... -3.08 eV/atom
Symmetry ... F-43m, No. 216

a = 5.082 Å, b = 5.082 Å, c = 5.082 Å
α = 60.00°, β = 60.00°, γ = 60.00°
Positions (direct):
Mg1 0.750 0.750 0.750
Rb1 0.500 0.500 0.500
Te1 0.000 0.000 0.000
Ir1 0.250 0.250 0.250

---

The following is a DFT calculation (PBE) of crystalline RbMgTeIr at its relaxed geometry.

Computed properties:
Calculated total energy ... -3.27 eV/atom
Symmetry ... F-43m, No. 216

a = 5.051 Å, b = 5.051 Å, c = 5.051 Å
α = 60.00°, β = 60.00°, γ = 60.00°
Positions (direct):
Rb1 0.500 0.500 0.500
Te1 0.250 0.250 0.250
Mg1 0.750 0.750 0.750
Ir1 0.000 0.000 0.000

---

The following is a DFT calculation (PBE) of crystalline RbMgTeIr at its relaxed geometry.

Computed properties:
Calculated total energy ... -3.07 eV/atom
Symmetry ... F-43m, No. 216

a = 5.204 Å, b = 5.204 Å, c = 5.204 Å
α = 60.00°, β = 60.00°, γ = 60.00°
Positions (direct):
Te1 0.000 0.000 0.000
Mg1 0.750 0.750 0.750
Ir1 0.500 0.500 0.500
Rb1 0.250 0.250 0.250